A plane-wave DFT calculation with PBE-GGA was carried out for a relaxed Ca2ReIr crystal.

## Properties
- calculated total energy (eV for the cell shown) = -23.167
- total magnetic moment (μB per cell) = 0.0
- relative energy among the computed polymorphs (meV per atom) = 355
- energy of formation (meV/atom) = 536

The structure in POSCAR format:
```
Ca2ReIr
1.0
-4.367 -1.912 2.629
4.970 -0.964 2.001
-0.150 2.542 1.599
Re Ir Ca
1 1 2
direct
0.000 0.500 0.500 Re
0.500 0.000 0.500 Ir
0.500 0.500 0.000 Ca
0.000 0.000 0.000 Ca
```